one:
Crystalline Ca2Al5Cu3 at its relaxed geometry. Source: Alexandria, functional PBE.

Properties
- V (Å³/cell) = 191.1
- density (g/cm3) = 3.525

Cell lengths 4.282, 4.282, 10.425 Å; angles 90.00, 90.00, 90.00 degrees
Space group P-4m2 (No. 115)
One atom of each set of equivalent atoms:
Ca 0.000 0.500 0.236 (multiplicity 2)
Al 0.000 0.000 0.500 (multiplicity 1)
Al 0.000 0.500 0.656 (multiplicity 2)
Al 0.500 0.500 0.000 (multiplicity 1)
Al 0.500 0.500 0.500 (multiplicity 1)
Cu 0.000 0.000 0.000 (multiplicity 1)
Cu 0.000 0.500 0.885 (multiplicity 2)

=====

two:
Crystalline Ca2Al5Cu3 at its relaxed geometry. Source: Alexandria, functional PBE.

Properties
- V (Å³/cell) = 717.0
- density (g/cm3) = 3.758

Cell lengths 4.246, 24.975, 6.761 Å; angles 90.00, 90.00, 90.00 degrees
Space group Cmc2_1 (No. 36)
One atom of each set of equivalent atoms:
Ca 0.000 0.018 0.000 (multiplicity 4)
Ca 0.000 0.324 0.049 (multiplicity 4)
Al 0.000 0.101 0.352 (multiplicity 4)
Al 0.000 0.208 0.862 (multiplicity 4)
Al 0.000 0.210 0.256 (multiplicity 4)
Al 0.000 0.373 0.515 (multiplicity 4)
Al 0.000 0.443 0.175 (multiplicity 4)
Cu 0.000 0.111 0.750 (multiplicity 4)
Cu 0.000 0.272 0.562 (multiplicity 4)
Cu 0.000 0.449 0.789 (multiplicity 4)

=====

two ends up most stable, edging out the next structure by 5.3 kJ/mol of atoms.

=====

one:
Crystalline CaAlCuSi2 at its relaxed geometry. Source: Alexandria, functional PBE.

Properties
- V (Å³/cell) = 107.7
- density (g/cm3) = 2.878

Cell lengths 4.836, 4.836, 4.607 Å; angles 90.00, 90.00, 90.00 degrees
Space group P4/mmm (No. 123)
One atom of each set of equivalent atoms:
Ca 0.000 0.000 0.000 (multiplicity 1)
Al 0.500 0.500 0.500 (multiplicity 1)
Cu 0.500 0.500 0.000 (multiplicity 1)
Si 0.000 0.500 0.500 (multiplicity 2)

=====

two:
Crystalline CaAlCuSi2 at its relaxed geometry. Source: Alexandria, functional PBE.

Properties
- V (Å³/cell) = 176.3
- density (g/cm3) = 3.519

Cell lengths 4.138, 4.138, 10.292 Å; angles 90.00, 90.00, 90.00 degrees
Space group I-4m2 (No. 119)
One atom of each set of equivalent atoms:
Ca 0.000 0.000 0.000 (multiplicity 2)
Al 0.000 0.500 0.250 (multiplicity 2)
Cu 0.000 0.500 0.750 (multiplicity 2)
Si 0.000 0.000 0.385 (multiplicity 4)

=====

two ends up most stable, edging out the next structure by 65.1 kJ/mol of atoms.

=====

one:
Crystalline SrCaAlCu at its relaxed geometry. Source: Alexandria, functional PBE.

Properties
- V (Å³/cell) = 429.4
- density (g/cm3) = 3.375

Cell lengths 7.544, 7.544, 7.544 Å; angles 90.00, 90.00, 90.00 degrees
Space group F-43m (No. 216)
One atom of each set of equivalent atoms:
Sr 0.000 0.000 0.000 (multiplicity 4)
Ca 0.000 0.000 0.500 (multiplicity 4)
Al 0.250 0.250 0.250 (multiplicity 4)
Cu 0.250 0.250 0.750 (multiplicity 4)

=====

two:
Crystalline SrCaAlCu at its relaxed geometry. Source: Alexandria, functional PBE.

Properties
- V (Å³/cell) = 252.1
- density (g/cm3) = 2.875

Cell lengths 7.537, 4.355, 8.088 Å; angles 90.00, 108.25, 90.00 degrees
Space group Cm (No. 8)
One atom of each set of equivalent atoms:
Sr 0.000 0.000 0.000 (multiplicity 2)
Ca 0.178 0.000 0.532 (multiplicity 2)
Al 0.262 0.500 0.284 (multiplicity 2)
Cu 0.429 0.000 0.286 (multiplicity 2)

=====

two ends up most stable, edging out the next structure by 12.7 kJ/mol of atoms.

=====

one:
Crystalline CaAlZnCu at its relaxed geometry. Source: Alexandria, functional PBE.

Properties
- V (Å³/cell) = 163.4
- density (g/cm3) = 3.984

Cell lengths 7.465, 4.308, 5.649 Å; angles 90.00, 115.91, 90.00 degrees
Space group Cm (No. 8)
One atom of each set of equivalent atoms:
Ca 0.000 0.000 0.000 (multiplicity 2)
Al 0.016 0.500 0.548 (multiplicity 2)
Zn 0.301 0.500 0.401 (multiplicity 2)
Cu 0.193 0.000 0.580 (multiplicity 2)

=====

two:
Crystalline CaAlZnCu at its relaxed geometry. Source: Alexandria, functional PBE.

Properties
- V (Å³/cell) = 286.9
- density (g/cm3) = 4.538

Cell lengths 6.596, 6.596, 6.596 Å; angles 90.00, 90.00, 90.00 degrees
Space group F-43m (No. 216)
One atom of each set of equivalent atoms:
Ca 0.000 0.000 0.000 (multiplicity 4)
Al 0.000 0.000 0.500 (multiplicity 4)
Zn 0.250 0.250 0.250 (multiplicity 4)
Cu 0.250 0.250 0.750 (multiplicity 4)

=====

one ends up most stable, edging out the next structure by 9.0 kJ/mol of atoms.

=====

one:
Crystalline CaEr3Al8 at its relaxed geometry. Source: Alexandria, functional PBE.

Properties
- V (Å³/cell) = 242.7
- density (g/cm3) = 5.184

Cell lengths 5.5613, 5.5613, 9.0608 Å; angles 90.00, 90.00, 120.00 degrees
Space group P3m1 (No. 156)
One atom of each set of equivalent atoms:
Ca 0.0000 0.0000 0.0000 (multiplicity 1)
Er 0.0000 0.0000 0.3674 (multiplicity 1)
Er 0.6667 0.3333 0.5018 (multiplicity 1)
Er 0.6667 0.3333 0.8677 (multiplicity 1)
Al 0.1624 0.3247 0.6803 (multiplicity 3)
Al 0.3333 0.6667 0.4334 (multiplicity 1)
Al 0.3333 0.6667 0.9340 (multiplicity 1)
Al 0.5050 0.0099 0.1873 (multiplicity 3)

=====

two:
Crystalline CaEr3Al8 at its relaxed geometry. Source: Alexandria, functional PBE.

Properties
- V (Å³/cell) = 728.5
- density (g/cm3) = 5.182

Cell lengths 5.5504, 5.5504, 27.3041 Å; angles 90.00, 90.00, 120.00 degrees
Space group R3m (No. 160, hexagonal axes)
One atom of each set of equivalent atoms:
Ca 0.0000 0.0000 0.0000 (multiplicity 3)
Er 0.0000 0.0000 0.1244 (multiplicity 3)
Er 0.0000 0.0000 0.4998 (multiplicity 3)
Er 0.0000 0.0000 0.6246 (multiplicity 3)
Al 0.0000 0.0000 0.3123 (multiplicity 3)
Al 0.0000 0.0000 0.8120 (multiplicity 3)
Al 0.0011 0.5006 0.0635 (multiplicity 9)
Al 0.1675 0.3350 0.8944 (multiplicity 9)

=====

two ends up most stable, edging out the next structure by 0.5 kJ/mol of atoms.

=====

one:
Crystalline CaEu2Al at its relaxed geometry. Source: Alexandria, functional PBE.

Properties
- V (Å³/cell) = 138.4
- density (g/cm3) = 4.452

Cell lengths 3.854, 3.854, 9.316 Å; angles 90.00, 90.00, 90.00 degrees
Space group P4/mmm (No. 123)
One atom of each set of equivalent atoms:
Ca 0.000 0.000 0.000 (multiplicity 1)
Eu 0.500 0.500 0.308 (multiplicity 2)
Al 0.000 0.000 0.500 (multiplicity 1)

=====

two:
Crystalline CaEu2Al at its relaxed geometry. Source: Alexandria, functional PBE.

Properties
- V (Å³/cell) = 128.8
- density (g/cm3) = 4.782

Cell lengths 5.059, 5.059, 5.035 Å; angles 90.00, 90.00, 90.00 degrees
Space group P4/mmm (No. 123)
One atom of each set of equivalent atoms:
Ca 0.000 0.000 0.000 (multiplicity 1)
Eu 0.000 0.500 0.500 (multiplicity 2)
Al 0.500 0.500 0.000 (multiplicity 1)

=====

one ends up most stable, edging out the next structure by 8.3 kJ/mol of atoms.

=====

one:
Crystalline Ca2EuAl at its relaxed geometry. Source: Alexandria, functional PBE.

Properties
- V (Å³/cell) = 128.8
- density (g/cm3) = 3.341

Cell lengths 4.978, 4.978, 5.197 Å; angles 90.00, 90.00, 90.00 degrees
Space group P4/mmm (No. 123)
One atom of each set of equivalent atoms:
Ca 0.000 0.500 0.000 (multiplicity 2)
Eu 0.000 0.000 0.500 (multiplicity 1)
Al 0.500 0.500 0.500 (multiplicity 1)

=====

two:
Crystalline Ca2EuAl at its relaxed geometry. Source: Alexandria, functional PBE.

Properties
- V (Å³/cell) = 137.0
- density (g/cm3) = 3.141

Cell lengths 3.731, 3.731, 9.844 Å; angles 90.00, 90.00, 90.00 degrees
Space group P4/mmm (No. 123)
One atom of each set of equivalent atoms:
Ca 0.000 0.000 0.188 (multiplicity 2)
Eu 0.500 0.500 0.500 (multiplicity 1)
Al 0.500 0.500 0.000 (multiplicity 1)

=====

two ends up most stable, edging out the next structure by 3.9 kJ/mol of atoms.

=====

one:
Crystalline Ca2EuAl at its relaxed geometry. Source: Alexandria, functional PBE.

Properties
- V (Å³/cell) = 425.1
- density (g/cm3) = 3.036

Cell lengths 3.7917, 3.7917, 34.1425 Å; angles 90.00, 90.00, 120.00 degrees
Space group R-3m (No. 166, hexagonal axes)
One atom of each set of equivalent atoms:
Ca 0.0000 0.0000 0.2349 (multiplicity 6)
Eu 0.0000 0.0000 0.0000 (multiplicity 3)
Al 0.0000 0.0000 0.5000 (multiplicity 3)

=====

two:
Crystalline Ca2EuAl at its relaxed geometry. Source: Alexandria, functional PBE.

Properties
- V (Å³/cell) = 501.8
- density (g/cm3) = 3.429

Cell lengths 7.947, 7.947, 7.947 Å; angles 90.00, 90.00, 90.00 degrees
Space group Fm-3m (No. 225)
One atom of each set of equivalent atoms:
Ca 0.250 0.250 0.250 (multiplicity 8)
Eu 0.000 0.000 0.000 (multiplicity 4)
Al 0.000 0.000 0.500 (multiplicity 4)

=====

two ends up most stable, edging out the next structure by 5.8 kJ/mol of atoms.

=====

one:
Crystalline CaEuAl at its relaxed geometry. Source: Alexandria, functional PBE.

Properties
- V (Å³/cell) = 89.0
- density (g/cm3) = 4.088

Cell lengths 5.4159, 5.4159, 3.5023 Å; angles 90.00, 90.00, 120.00 degrees
Space group P3m1 (No. 156)
One atom of each set of equivalent atoms:
Ca 0.0000 0.0000 0.0000 (multiplicity 1)
Eu 0.6667 0.3333 0.3666 (multiplicity 1)
Al 0.3333 0.6667 0.7201 (multiplicity 1)

=====

two:
Crystalline CaEuAl at its relaxed geometry. Source: Alexandria, functional PBE.

Properties
- V (Å³/cell) = 190.6
- density (g/cm3) = 3.815

Cell lengths 3.770, 3.770, 13.410 Å; angles 90.00, 90.00, 90.00 degrees
Space group I4mm (No. 107)
One atom of each set of equivalent atoms:
Ca 0.000 0.000 0.000 (multiplicity 2)
Eu 0.000 0.000 0.725 (multiplicity 2)
Al 0.000 0.000 0.367 (multiplicity 2)

=====

three:
Crystalline CaEuAl at its relaxed geometry. Source: Alexandria, functional PBE.

Properties
- V (Å³/cell) = 432.5
- density (g/cm3) = 3.364

Cell lengths 7.562, 7.562, 7.562 Å; angles 90.00, 90.00, 90.00 degrees
Space group F-43m (No. 216)
One atom of each set of equivalent atoms:
Ca 0.000 0.000 0.000 (multiplicity 4)
Eu 0.000 0.000 0.500 (multiplicity 4)
Al 0.250 0.250 0.250 (multiplicity 4)

=====

two ends up most stable, edging out the next structure by 10.9 kJ/mol of atoms.

=====

one:
Crystalline CaAl2F at its relaxed geometry. Source: Alexandria, functional PBE.

Properties
- V (Å³/cell) = 373.5
- density (g/cm3) = 2.011

Cell lengths 4.975, 4.975, 15.090 Å; angles 90.00, 90.00, 90.00 degrees
Space group I-42d (No. 122)
One atom of each set of equivalent atoms:
Ca 0.000 0.000 0.000 (multiplicity 4)
Al 0.060 0.250 0.625 (multiplicity 8)
F 0.000 0.000 0.500 (multiplicity 4)

=====

two:
Crystalline CaAl2F at its relaxed geometry. Source: Alexandria, functional PBE.

Properties
- V (Å³/cell) = 350.5
- density (g/cm3) = 2.142

Cell lengths 7.050, 7.050, 7.050 Å; angles 90.00, 90.00, 90.00 degrees
Space group Fm-3m (No. 225)
One atom of each set of equivalent atoms:
Ca 0.000 0.000 0.000 (multiplicity 4)
Al 0.250 0.250 0.250 (multiplicity 8)
F 0.000 0.000 0.500 (multiplicity 4)

=====

one ends up most stable, edging out the next structure by 46.3 kJ/mol of atoms.

=====

one:
Crystalline CaAl2F8 at its relaxed geometry. Source: Alexandria, functional PBE.

Properties
- V (Å³/cell) = 335.0
- density (g/cm3) = 2.439

Cell lengths 10.784, 5.638, 5.784 Å; angles 90.00, 107.71, 90.00 degrees
Space group C2/m (No. 12)
One atom of each set of equivalent atoms:
Ca 0.000 0.000 0.000 (multiplicity 2)
Al 0.203 0.000 0.695 (multiplicity 4)
F 0.129 0.223 0.805 (multiplicity 8)
F 0.134 0.500 0.221 (multiplicity 4)
F 0.149 0.000 0.383 (multiplicity 4)

=====

two:
Crystalline CaAl2F8 at its relaxed geometry. Source: Alexandria, functional PBE.

Properties
- V (Å³/cell) = 569.4
- density (g/cm3) = 2.870

Cell lengths 6.786, 10.976, 7.647 Å; angles 90.00, 90.78, 90.00 degrees
Space group C2/c (No. 15)
One atom of each set of equivalent atoms:
Ca 0.000 0.032 0.250 (multiplicity 4)
Al 0.000 0.371 0.250 (multiplicity 4)
Al 0.250 0.250 0.000 (multiplicity 4)
F 0.037 0.351 0.013 (multiplicity 8)
F 0.080 0.121 0.971 (multiplicity 8)
F 0.191 0.474 0.284 (multiplicity 8)
F 0.193 0.239 0.239 (multiplicity 8)

=====

two ends up most stable, edging out the next structure by 10.9 kJ/mol of atoms.

=====

one:
Crystalline CaAlF5 at its relaxed geometry. Source: Alexandria, functional PBE.

Properties
- V (Å³/cell) = 193.8
- density (g/cm3) = 2.777

Cell lengths 3.726, 6.509, 7.990 Å; angles 90.00, 90.00, 90.00 degrees
Space group Immm (No. 71)
One atom of each set of equivalent atoms:
Ca 0.000 0.000 0.000 (multiplicity 2)
Al 0.000 0.000 0.500 (multiplicity 2)
F 0.000 0.000 0.277 (multiplicity 4)
F 0.000 0.284 0.500 (multiplicity 4)
F 0.000 0.500 0.000 (multiplicity 2)

=====

two:
Crystalline CaAlF5 at its relaxed geometry. Source: Alexandria, functional PBE.

Properties
- V (Å³/cell) = 379.9
- density (g/cm3) = 2.833

Cell lengths 8.807, 6.402, 7.435 Å; angles 90.00, 115.02, 90.00 degrees
Space group C2/c (No. 15)
One atom of each set of equivalent atoms:
Ca 0.000 0.042 0.250 (multiplicity 4)
Al 0.000 0.500 0.000 (multiplicity 4)
F 0.000 0.441 0.250 (multiplicity 4)
F 0.011 0.216 0.974 (multiplicity 8)
F 0.222 0.482 0.614 (multiplicity 8)

=====

two ends up most stable, edging out the next structure by 0.5 kJ/mol of atoms.